Entry 1:
DFT (PBE) results for a relaxed structure of RbCuHg2Cl8.

POSCAR file:
```
RbCuHg2Cl8
1.0
6.758 0.000 0.000
1.015 7.355 0.000
2.125 1.852 8.330
Rb Cu Hg Cl
1 1 2 8
Cartesian
0.000 0.000 0.000
1.063 0.926 4.165
4.401 4.268 2.353
5.498 4.939 5.977
3.208 7.200 5.699
3.135 7.192 2.584
3.342 3.467 4.268
4.634 4.246 8.029
5.265 4.961 0.301
6.557 5.740 4.063
6.764 2.016 5.746
6.691 2.007 2.631
```

## Properties
Magnetic moment ... 0.00 μB per cell
Raw formation energy ... -8.867 eV per formula unit
DFT total energy ... -2.4423 eV/atom

---

Entry 2:
DFT (PBE) results for a relaxed structure of Rb3Cu2HgCl6.

POSCAR file:
```
Rb3Cu2HgCl6
1.0
7.858 0.000 0.000
-3.929 6.805 0.000
0.000 0.000 8.508
Rb Cu Hg Cl
3 2 1 6
Cartesian
0.000 0.000 0.000
0.000 4.537 5.591
3.929 2.268 2.917
0.000 4.537 2.091
3.929 2.268 6.417
0.000 0.000 4.254
0.000 2.343 2.290
-1.900 5.634 2.290
2.029 1.171 6.218
1.900 5.634 2.290
5.829 1.171 6.218
3.929 4.462 6.218
```

## Properties
Magnetic moment ... 0.00 μB per cell
D(E_F) ... 3.43 states/eV per cell
Raw formation energy ... -13.192 eV per formula unit
DFT total energy ... -2.9724 eV/atom

---

Entry 3:
DFT (PBE) results for a relaxed structure of Rb2CuHgCl6.

POSCAR file:
```
Rb2CuHgCl6
1.0
-3.703 3.703 5.350
3.703 -3.703 5.350
3.703 3.703 -5.350
Rb Cu Hg Cl
2 1 1 6
Cartesian
3.703 0.000 2.675
0.000 3.703 2.675
0.000 0.000 0.000
0.000 0.000 5.350
1.625 1.625 0.000
2.078 -2.078 5.350
0.000 0.000 2.957
0.000 0.000 7.743
-2.078 2.078 5.350
2.078 2.078 5.350
```

## Properties
Magnetic moment ... 1.00 μB per cell
D(E_F) ... 0.00 states/eV per cell
Raw formation energy ... -11.252 eV per formula unit
DFT total energy ... -2.8665 eV/atom

---

Entry 4:
DFT (PBE) results for a relaxed structure of RbCu2HgCl6.

POSCAR file:
```
RbCu2HgCl6
1.0
6.558 -6.849 0.000
6.558 6.849 0.000
-1.466 0.000 6.731
Rb Cu Hg Cl
2 4 2 12
Cartesian
5.459 5.436 5.048
6.192 -5.436 1.683
2.758 0.812 5.025
3.491 -0.812 1.659
8.160 0.812 5.071
8.893 -0.812 1.706
6.192 2.886 1.683
5.459 -2.886 5.048
0.613 1.451 4.777
3.835 2.702 6.207
1.346 -1.451 1.412
3.733 0.991 2.988
3.000 -0.991 6.353
7.083 2.702 3.889
4.568 -2.702 2.842
8.651 0.991 0.377
7.919 -0.991 3.743
10.306 1.451 5.319
7.816 -2.702 0.523
11.038 -1.451 1.954
```

## Properties
Magnetic moment ... 2.15 μB per cell
D(E_F) ... 12.81 states/eV per cell
Raw formation energy ... -8.087 eV per formula unit
DFT total energy ... -2.8628 eV/atom

---

Entry 5:
DFT (PBE) results for a relaxed structure of RbCu2HgCl8.

POSCAR file:
```
RbCu2HgCl8
1.0
6.486 0.000 0.000
-3.243 5.617 0.000
0.000 0.000 9.305
Rb Cu Hg Cl
1 2 1 8
Cartesian
0.000 0.000 0.000
0.000 3.744 6.861
3.243 1.872 2.444
0.000 0.000 4.652
-1.051 1.843 6.303
-1.121 5.606 6.303
1.071 1.832 3.002
0.000 3.744 9.063
3.243 1.872 0.242
2.172 3.785 6.303
4.364 0.011 3.002
4.294 3.773 3.002
```

## Properties
Magnetic moment ... 3.11 μB per cell
D(E_F) ... 11.51 states/eV per cell
Raw formation energy ... -7.728 eV per formula unit
DFT total energy ... -2.6635 eV/atom

---

Entry 6:
DFT (PBE) results for a relaxed structure of Rb3CuHg2Cl8.

POSCAR file:
```
Rb3CuHg2Cl8
1.0
7.349 0.000 0.000
-3.674 6.364 0.000
0.000 0.000 9.532
Rb Cu Hg Cl
3 1 2 8
Cartesian
0.000 0.000 0.000
0.000 4.243 5.819
3.674 2.121 3.713
0.000 0.000 4.766
0.000 4.243 1.927
3.674 2.121 7.606
0.000 1.978 3.208
-1.961 5.375 3.208
1.713 0.989 6.324
0.000 4.243 9.014
3.674 2.121 0.519
1.961 5.375 3.208
5.635 0.989 6.324
3.674 4.386 6.324
```

## Properties
Magnetic moment ... 0.00 μB per cell
D(E_F) ... 1.75 states/eV per cell
Raw formation energy ... -15.855 eV per formula unit
DFT total energy ... -2.7308 eV/atom

---

Entry 7:
DFT (PBE) results for a relaxed structure of Rb3Cu2HgCl8.

POSCAR file:
```
Rb3Cu2HgCl8
1.0
7.281 0.000 0.000
-3.640 6.305 0.000
0.000 0.000 9.316
Rb Cu Hg Cl
3 2 1 8
Cartesian
0.000 0.000 0.000
0.000 4.204 5.869
3.640 2.102 3.447
0.000 4.204 1.907
3.640 2.102 7.408
0.000 0.000 4.658
0.000 2.137 2.980
-1.790 5.237 2.980
0.000 4.204 9.047
1.851 1.068 6.336
1.790 5.237 2.980
3.640 2.102 0.269
5.430 1.068 6.336
3.640 4.169 6.336
```

## Properties
Magnetic moment ... 1.13 μB per cell
D(E_F) ... 10.34 states/eV per cell
Raw formation energy ... -15.934 eV per formula unit
DFT total energy ... -3.0074 eV/atom

---

Entry 8:
DFT (PBE) results for a relaxed structure of RbCuHgCl6.

POSCAR file:
```
RbCuHgCl6
1.0
6.685 0.000 0.000
-3.343 5.789 0.000
0.000 0.000 7.254
Rb Cu Hg Cl
1 1 1 6
Cartesian
0.000 0.000 0.000
0.000 3.860 3.627
3.343 1.930 3.627
-1.073 2.270 2.210
-1.913 3.725 5.045
1.073 2.270 5.045
-0.840 5.584 2.210
1.913 3.725 2.210
0.840 5.584 5.045
```

## Properties
Magnetic moment ... 2.04 μB per cell
D(E_F) ... 1.90 states/eV per cell
Raw formation energy ... -6.707 eV per formula unit
DFT total energy ... -2.5725 eV/atom

---

> Among the records above, which one has the lowest DFT total energy?

Rb3Cu2HgCl8